(1)
Density functional theory data (PBE) for a relaxed structure of NiPBr3.

Unit cell a=4.8431 b=4.8431 c=4.8431 alpha=90.00 beta=90.00 gamma=90.00
Closest atoms and distances in Å follow each position.
Fractional coordinates of all 5 atoms:
1 Ni 0.0000 0.0000 0.0000  6 Br 2.42
2 Br 0.5000 0.0000 0.0000  2 Ni 2.42
3 Br 0.0000 0.5000 0.0000  2 Ni 2.42
4 Br 0.0000 0.0000 0.5000  2 Ni 2.42
5 P 0.5000 0.5000 0.5000  12 Br 3.42

Calculated values
Uncorrected formation energy   0.51 eV per atom
Energy above the most stable polymorph in this dataset   0.000 eV/atom
Symmetry   Pm-3m

***

(2)
Density functional theory data (PBE) for a relaxed structure of Si3PbO.

Unit cell a=4.4609 b=4.4609 c=4.4609 alpha=90.00 beta=90.00 gamma=90.00
Closest atoms and distances in Å follow each position.
Fractional coordinates of all 5 atoms:
1 Si 0.0000 0.5000 0.0000  2 O 2.23
2 Si 0.0000 0.0000 0.5000  2 O 2.23
3 Si 0.5000 0.0000 0.0000  2 O 2.23
4 Pb 0.5000 0.5000 0.5000  12 Si 3.15
5 O 0.0000 0.0000 0.0000  6 Si 2.23

Calculated values
Uncorrected formation energy   0.30 eV per atom
Energy above the most stable polymorph in this dataset   0.000 eV/atom
Symmetry   Pm-3m

***

(3)
Density functional theory data (PBE) for a relaxed structure of Dy2Ho12In.

Unit cell a=6.6153 b=6.6153 c=23.7515 alpha=86.02 beta=86.02 gamma=115.18
Closest atoms and distances in Å follow each position.
Fractional coordinates of all 30 atoms:
1 Ho 0.7192 0.2192 0.8749  1 In 3.17, 6 Ho 3.25-3.55
2 Ho 0.9496 0.9495 0.3267  3 Ho 3.09-3.28
3 Ho 0.6489 0.6490 0.4437  10 Ho 3.19-3.55
4 Ho 0.8511 0.8510 0.5563  10 Ho 3.19-3.55
5 Ho 0.1772 0.1771 0.9318  2 In 3.30, 9 Ho 3.46-3.63
6 Ho 0.7808 0.2808 0.1251  1 In 3.17, 6 Ho 3.25-3.55
7 Ho 0.1579 0.6579 0.4236  8 Ho 3.34-3.61
8 Ho 0.2808 0.7808 0.1252  1 In 3.17, 6 Ho 3.25-3.55
9 Ho 0.9891 0.9893 0.8044  3 Ho 3.09-3.25
10 Ho 0.8420 0.3420 0.5764  8 Ho 3.34-3.61
11 Ho 0.5109 0.5107 0.1956  3 Ho 3.09-3.25
12 Ho 0.5504 0.5505 0.6733  3 Ho 3.09-3.28
13 Ho 0.4893 0.4891 0.8044  3 Ho 3.09-3.25
14 Ho 0.3228 0.3229 0.0682  2 In 3.30, 9 Ho 3.46-3.63
15 Ho 0.3510 0.3511 0.5563  10 Ho 3.19-3.55
16 Ho 0.0107 0.0109 0.1956  3 Ho 3.09-3.25
17 Ho 0.0505 0.0504 0.6733  3 Ho 3.09-3.28
18 Ho 0.8229 0.8228 0.0682  2 In 3.30, 9 Ho 3.46-3.63
19 Ho 0.3421 0.8421 0.5764  8 Ho 3.34-3.61
20 Ho 0.6771 0.6772 0.9318  2 In 3.30, 9 Ho 3.46-3.63
21 Ho 0.1490 0.1489 0.4437  10 Ho 3.19-3.55
22 Ho 0.4495 0.4496 0.3267  3 Ho 3.09-3.28
23 Ho 0.2192 0.7192 0.8748  1 In 3.17, 6 Ho 3.25-3.55
24 Ho 0.6580 0.1580 0.4236  8 Ho 3.34-3.61
25 In 0.4997 0.9997 0.0000  6 Ho 3.17-3.30, 2 In 3.54-3.55
26 In 0.0003 0.5003 0.0000  6 Ho 3.17-3.30, 2 In 3.54-3.55
27 Dy 0.0243 0.5243 0.7341  2 Dy 3.54-3.55, 10 Ho 3.60-3.78
28 Dy 0.4757 0.9757 0.2659  2 Dy 3.54-3.55, 10 Ho 3.60-3.78
29 Dy 0.9756 0.4756 0.2659  2 Dy 3.54-3.55, 10 Ho 3.60-3.78
30 Dy 0.5244 0.0244 0.7341  2 Dy 3.54-3.55, 10 Ho 3.60-3.78

Calculated values
E_form   0.059 eV/atom
Symmetry   P2/m

***

(4)
Density functional theory data (PBE) for a relaxed structure of Sm4Ir2Br3.

Unit cell a=4.0851 b=4.0851 c=18.6836 alpha=90.04 beta=89.96 gamma=120.00
Closest atoms and distances in Å follow each position.
Fractional coordinates of all 9 atoms:
1 Sm 0.3337 0.6663 0.8723  3 Ir 2.79
2 Sm 0.0007 0.9993 0.7038  3 Ir 2.88, 3 Br 3.05
3 Sm 0.6663 0.3337 0.1277  3 Ir 2.79
4 Sm 0.9993 0.0007 0.2962  3 Ir 2.88, 3 Br 3.05
5 Br 0.0000 0.0000 0.0000  6 Sm 3.35-3.36
6 Br 0.3342 0.6658 0.6007  3 Sm 3.05
7 Br 0.6658 0.3342 0.3993  3 Sm 3.05
8 Ir 0.3328 0.6672 0.2074  6 Sm 2.79-2.88
9 Ir 0.6672 0.3328 0.7926  6 Sm 2.79-2.88

Calculated values
Uncorrected formation energy   -1.21 eV per atom
Symmetry   C2/m

***

(5)
Density functional theory data (PBE) for a relaxed structure of La2DyScBi4.

Unit cell a=4.5577 b=7.8860 c=7.8337 alpha=109.62 beta=90.00 gamma=90.00
Closest atoms and distances in Å follow each position.
Fractional coordinates of all 8 atoms:
1 Bi 0.5000 0.2364 0.2277  2 Sc 3.10, 1 Dy 3.16, 3 La 3.27-3.33
2 Bi 0.0000 0.2497 0.7677  1 Sc 3.10, 2 Dy 3.16, 3 La 3.27-3.33
3 Bi 0.0000 0.7503 0.2323  1 Sc 3.10, 2 Dy 3.16, 3 La 3.27-3.33
4 Bi 0.5000 0.7636 0.7723  2 Sc 3.10, 1 Dy 3.16, 3 La 3.27-3.33
5 La 0.0000 0.5000 0.5000  6 Bi 3.33
6 La 0.5000 0.0000 0.5000  6 Bi 3.27
7 Dy 0.5000 0.5000 0.0000  6 Bi 3.16
8 Sc 0.0000 0.0000 0.0000  6 Bi 3.10

Calculated values
E_form   -0.891 eV/atom
Symmetry   P2/m

***

(6)
Density functional theory data (PBE) for a relaxed structure of TiOs.

Unit cell a=7.5710 b=7.5710 c=7.5710 alpha=90.00 beta=90.00 gamma=90.00
Closest atoms and distances in Å follow each position.
Fractional coordinates of all 16 atoms:
1 Os 0.6272 0.6272 0.3728  1 Ti 2.26
2 Os 0.8728 0.1272 0.1272  1 Ti 2.26
3 Os 0.8728 0.8728 0.8728  1 Ti 2.26
4 Os 0.6272 0.3728 0.6272  1 Ti 2.26
5 Os 0.1272 0.1272 0.8728  1 Ti 2.26
6 Os 0.1272 0.8728 0.1272  1 Ti 2.26
7 Os 0.3728 0.6272 0.6272  1 Ti 2.26
8 Os 0.3728 0.3728 0.3728  1 Ti 2.26
9 Ti 0.2006 0.2006 0.2006  1 Os 2.26
10 Ti 0.7994 0.7994 0.2006  1 Os 2.26
11 Ti 0.7994 0.2006 0.7994  1 Os 2.26
12 Ti 0.7006 0.2994 0.2994  1 Os 2.26
13 Ti 0.7006 0.7006 0.7006  1 Os 2.26
14 Ti 0.2006 0.7994 0.7994  1 Os 2.26
15 Ti 0.2994 0.2994 0.7006  1 Os 2.26
16 Ti 0.2994 0.7006 0.2994  1 Os 2.26

Calculated values
E_form   1.247 eV/atom
Symmetry   I-43m

***

Computed values of M_tot (unit: μB/f.u.) for the preceding records, in sequence: 0.0, 0.0, 0.0, 0.0, 0.0, 0.0.